(1)
Material: RbInSi
Method: DFT, PBE
State: relaxed

The structure in POSCAR format:
```
RbInSi
1.0
8.017 0.000 0.000
0.000 8.017 0.000
0.000 0.000 7.347
Si Rb In
4 4 4
Direct
0.500 0.649 0.000
0.500 0.351 0.500
0.351 0.500 0.250
0.649 0.500 0.750
0.000 0.653 0.000
0.000 0.347 0.500
0.347 0.000 0.250
0.653 0.000 0.750
0.663 0.663 0.375
0.337 0.337 0.875
0.337 0.663 0.625
0.663 0.337 0.125
```

Results
**Density of states at the Fermi level**: 0.7 states/eV per cell
**Formation energy (no corrections)**: 75 meV per atom
**Space-group type**: P4_122 (91)
**Theoretical density**: 3.2 Mg/m³
**Volume**: 472 Å³ per cell

(2)
Material: ScMnAg2
Method: DFT, PBE
State: relaxed

The structure in POSCAR format:
```
ScMnAg2
1.0
-1.552 -2.708 -1.315
3.004 -1.167 -1.143
3.848 -4.258 4.229
Ag Mn Sc
2 1 1
Direct
0.000 0.991 0.009
0.500 0.239 0.261
0.000 0.515 0.485
0.500 0.756 0.744
```

Results
**Density of states at the Fermi level**: 2.3 states/eV per cell
**Space-group type**: Pmm2 (25)
**Theoretical density**: 7.2 Mg/m³
**Volume**: 72 Å³ per cell
**Offset from the most stable computed form**: 0.1 kJ/mol of atoms

no.,calculated total energy (eV per atom)
1,-2.968
2,-5.300